NdSmCoRu: optimized geometry, GGA-PBE.

abc: 4.907 4.907 4.907
angles: 60.00 60.00 60.00
Last column: magnetic moment on the atom in μB.
Element x y z (fractional)
Sm1 0.500 0.500 0.500  -0.03
Co1 0.250 0.250 0.250  0.28
Ru1 0.750 0.750 0.750  0.03
Nd1 0.000 0.000 0.000  -0.03

## Properties
Relative energy among the computed polymorphs (meV/atom): 99

---

NdThCoRu: optimized geometry, GGA-PBE.

abc: 4.962 4.962 4.962
angles: 60.00 60.00 60.00
Last column: magnetic moment on the atom in μB.
Element x y z (fractional)
Ru1 0.750 0.750 0.750  0.16
Th1 0.500 0.500 0.500  -0.12
Nd1 0.000 0.000 0.000  -0.07
Co1 0.250 0.250 0.250  0.81

---

NdTmCoRu: optimized geometry, GGA-PBE.

abc: 4.819 4.819 4.819
angles: 60.00 60.00 60.00
Element x y z (fractional)
Co1 0.250 0.250 0.250
Ru1 0.750 0.750 0.750
Tm1 0.500 0.500 0.500
Nd1 0.000 0.000 0.000

---

Number 1: formation energy from the elements -0.130 eV per formula unit, Fermi-level density of states 4.30 states/eV/f.u.. Number 2: formation energy from the elements -0.602 eV per formula unit, Fermi-level density of states 1.12 states/eV/f.u.. Number 3: formation energy from the elements -0.572 eV per formula unit, Fermi-level density of states 3.60 states/eV/f.u..